No. 1
Compound: Na2In2Hg3
Source: the Alexandria database
Functional: PBE
Structure: relaxed

Computed properties:
DOS(E_F) ... 5.43 states/eV/cell
Energy above the most stable polymorph in this dataset ... 0.000 eV per atom
DFT formation energy ... -1.01 eV per formula unit

CIF file:
```
data_Na2In2Hg3
_chemical_formula_sum 'Na4 In4 Hg6'
_cell_length_a 9.7214
_cell_length_b 4.8615
_cell_length_c 7.8595
_cell_angle_alpha 90.00
_cell_angle_beta 102.89
_cell_angle_gamma 90.00
_space_group_name_H-M_alt 'C 1 2/m 1'
_space_group_IT_number 12
loop_
_space_group_symop_operation_xyz
'x,y,z'
'-x,-y,-z'
'-x,y,-z'
'x,-y,z'
'x+1/2,y+1/2,z'
'-x+1/2,-y+1/2,-z'
'-x+1/2,y+1/2,-z'
'x+1/2,-y+1/2,z'
loop_
_atom_site_label
_atom_site_fract_x
_atom_site_fract_y
_atom_site_fract_z
Na1 0.0764 0.0000 0.2404
In1 0.1463 0.5000 0.9499
Hg1 0.0000 0.5000 0.5000
Hg2 0.2123 0.0000 0.6465
```


No. 2
Compound: NaIn3Hg
Source: the Alexandria database
Functional: PBE
Structure: relaxed

Computed properties:
DOS(E_F) ... 5.33 states/eV/cell
Energy above the most stable polymorph in this dataset ... 0.530 eV per atom
DFT formation energy ... 2.27 eV per formula unit

CIF file:
```
data_NaIn3Hg
_chemical_formula_sum 'Na1 In3 Hg1'
_cell_length_a 5.6027
_cell_length_b 5.6027
_cell_length_c 5.6027
_cell_angle_alpha 90.00
_cell_angle_beta 90.00
_cell_angle_gamma 90.00
_space_group_name_H-M_alt 'P m -3 m'
_space_group_IT_number 221
_space_group_name_Hall '-P 4 2 3'
loop_
_atom_site_label
_atom_site_fract_x
_atom_site_fract_y
_atom_site_fract_z
Na1 0.0000 0.0000 0.0000
In1 0.0000 0.0000 0.5000
Hg1 0.5000 0.5000 0.5000
```


No. 3
Compound: Na3In4Hg8
Source: the Alexandria database
Functional: PBE
Structure: relaxed

Computed properties:
DOS(E_F) ... 10.89 states/eV/cell
Energy above the most stable polymorph in this dataset ... 0.075 eV per atom
DFT formation energy ... -1.06 eV per formula unit

CIF file:
```
data_Na3In4Hg8
_chemical_formula_sum 'Na6 In8 Hg16'
_cell_length_a 12.4336
_cell_length_b 11.9791
_cell_length_c 6.6591
_cell_angle_alpha 90.00
_cell_angle_beta 121.00
_cell_angle_gamma 90.00
_space_group_name_H-M_alt 'C 1 2/m 1'
_space_group_IT_number 12
loop_
_space_group_symop_operation_xyz
'x,y,z'
'-x,-y,-z'
'-x,y,-z'
'x,-y,z'
'x+1/2,y+1/2,z'
'-x+1/2,-y+1/2,-z'
'-x+1/2,y+1/2,-z'
'x+1/2,-y+1/2,z'
loop_
_atom_site_label
_atom_site_fract_x
_atom_site_fract_y
_atom_site_fract_z
Na1 0.0000 0.0000 0.0000
Na2 0.2500 0.2500 0.5000
In1 0.0000 0.0000 0.5000
In2 0.0000 0.5000 0.0000
In3 0.2500 0.2500 0.0000
Hg1 0.0000 0.2526 0.0000
Hg2 0.0000 0.2650 0.5000
Hg3 0.1467 0.5000 0.5393
Hg4 0.2448 0.0000 0.9334
```


No. 4
Compound: Na4InHg6
Source: the Alexandria database
Functional: PBE
Structure: relaxed

Computed properties:
DOS(E_F) ... 10.91 states/eV/cell
DFT formation energy ... -1.67 eV per formula unit

CIF file:
```
data_Na4InHg6
_chemical_formula_sum 'Na8 In2 Hg12'
_cell_length_a 6.5525
_cell_length_b 6.5525
_cell_length_c 15.1113
_cell_angle_alpha 90.00
_cell_angle_beta 90.00
_cell_angle_gamma 90.00
_space_group_name_H-M_alt 'I -4 2 m'
_space_group_IT_number 121
_space_group_name_Hall 'I -4 2'
loop_
_atom_site_label
_atom_site_fract_x
_atom_site_fract_y
_atom_site_fract_z
Na1 0.2291 0.2291 0.1580
In1 0.0000 0.0000 0.5000
Hg1 0.0000 0.5000 0.0000
Hg2 0.2401 0.2401 0.3619
```


No. 5
Compound: NaIn5Hg2
Source: the Alexandria database
Functional: PBE
Structure: relaxed

Computed properties:
DOS(E_F) ... 5.88 states/eV/cell
Energy above the most stable polymorph in this dataset ... 0.018 eV per atom
DFT formation energy ... -0.28 eV per formula unit

CIF file:
```
data_NaIn5Hg2
_chemical_formula_sum 'Na2 In10 Hg4'
_cell_length_a 4.4915
_cell_length_b 9.1379
_cell_length_c 10.8776
_cell_angle_alpha 90.00
_cell_angle_beta 90.00
_cell_angle_gamma 90.00
_space_group_name_H-M_alt 'I m m m'
_space_group_IT_number 71
_space_group_name_Hall '-I 2 2'
loop_
_atom_site_label
_atom_site_fract_x
_atom_site_fract_y
_atom_site_fract_z
Na1 0.0000 0.0000 0.0000
In1 0.0000 0.1860 0.3530
In2 0.0000 0.5000 0.0000
Hg1 0.0000 0.5000 0.2953
```


No. 6
Compound: Na8In3Hg2
Source: the Alexandria database
Functional: PBE
Structure: relaxed

Computed properties:
DOS(E_F) ... 10.93 states/eV/cell
DFT formation energy ... -1.18 eV per formula unit

CIF file:
```
data_Na8In3Hg2
_chemical_formula_sum 'Na16 In6 Hg4'
_cell_length_a 17.9347
_cell_length_b 8.6003
_cell_length_c 5.1641
_cell_angle_alpha 90.00
_cell_angle_beta 95.88
_cell_angle_gamma 90.00
_space_group_name_H-M_alt 'C 1 2/m 1'
_space_group_IT_number 12
loop_
_space_group_symop_operation_xyz
'x,y,z'
'-x,-y,-z'
'-x,y,-z'
'x,-y,z'
'x+1/2,y+1/2,z'
'-x+1/2,-y+1/2,-z'
'-x+1/2,y+1/2,-z'
'x+1/2,-y+1/2,z'
loop_
_atom_site_label
_atom_site_fract_x
_atom_site_fract_y
_atom_site_fract_z
Na1 0.0573 0.0000 0.2632
Na2 0.1576 0.2162 0.7323
Na3 0.1636 0.5000 0.2213
In1 0.0000 0.3141 0.0000
In2 0.0000 0.5000 0.5000
Hg1 0.2260 0.0000 0.2397
```


No. 7
Compound: Na7InHg2
Source: the Alexandria database
Functional: PBE
Structure: relaxed

Computed properties:
DOS(E_F) ... 5.24 states/eV/cell
Energy above the most stable polymorph in this dataset ... 0.000 eV per atom
DFT formation energy ... -0.87 eV per formula unit

CIF file:
```
data_Na7InHg2
_chemical_formula_sum 'Na7 In1 Hg2'
_cell_length_a 5.3859
_cell_length_b 5.3859
_cell_length_c 12.5944
_cell_angle_alpha 90.00
_cell_angle_beta 90.00
_cell_angle_gamma 120.00
_space_group_name_H-M_alt 'P 3 m 1'
_space_group_IT_number 156
loop_
_space_group_symop_operation_xyz
'x,y,z'
'-y,x-y,z'
'-x+y,-x,z'
'-y,-x,z'
'-x+y,y,z'
'x,x-y,z'
loop_
_atom_site_label
_atom_site_fract_x
_atom_site_fract_y
_atom_site_fract_z
Na1 0.0000 0.0000 0.0000
Na2 0.0000 0.0000 0.2574
Na3 0.0000 0.0000 0.5199
Na4 0.3333 0.6667 0.1089
Na5 0.3333 0.6667 0.6701
Na6 0.6667 0.3333 0.4049
Na7 0.6667 0.3333 0.8490
In1 0.6667 0.3333 0.1362
Hg1 0.0000 0.0000 0.7602
Hg2 0.3333 0.6667 0.3758
```


No. 8
Compound: Na3InHg
Source: the Alexandria database
Functional: PBE
Structure: relaxed

Computed properties:
DOS(E_F) ... 2.03 states/eV/cell
Energy above the most stable polymorph in this dataset ... 0.212 eV per atom
DFT formation energy ... 0.49 eV per formula unit

CIF file:
```
data_Na3InHg
_chemical_formula_sum 'Na3 In1 Hg1'
_cell_length_a 5.6969
_cell_length_b 5.6969
_cell_length_c 5.6969
_cell_angle_alpha 90.00
_cell_angle_beta 90.00
_cell_angle_gamma 90.00
_space_group_name_H-M_alt 'P m -3 m'
_space_group_IT_number 221
_space_group_name_Hall '-P 4 2 3'
loop_
_atom_site_label
_atom_site_fract_x
_atom_site_fract_y
_atom_site_fract_z
Na1 0.0000 0.0000 0.5000
In1 0.5000 0.5000 0.5000
Hg1 0.0000 0.0000 0.0000
```


No. 9
Compound: Na5In2Hg12
Source: the Alexandria database
Functional: PBE
Structure: relaxed

Computed properties:
DOS(E_F) ... 13.76 states/eV/cell
DFT formation energy ... -2.79 eV per formula unit

CIF file:
```
data_Na5In2Hg12
_chemical_formula_sum 'Na10 In4 Hg24'
_cell_length_a 15.3617
_cell_length_b 8.2183
_cell_length_c 7.9925
_cell_angle_alpha 90.00
_cell_angle_beta 91.08
_cell_angle_gamma 90.00
_space_group_name_H-M_alt 'C 1 2/m 1'
_space_group_IT_number 12
loop_
_space_group_symop_operation_xyz
'x,y,z'
'-x,-y,-z'
'-x,y,-z'
'x,-y,z'
'x+1/2,y+1/2,z'
'-x+1/2,-y+1/2,-z'
'-x+1/2,y+1/2,-z'
'x+1/2,-y+1/2,z'
loop_
_atom_site_label
_atom_site_fract_x
_atom_site_fract_y
_atom_site_fract_z
Na1 0.0000 0.0000 0.0000
Na2 0.2017 0.5000 0.4951
Na3 0.2419 0.0000 0.0718
In1 0.0000 0.3021 0.5000
Hg1 0.0540 0.5000 0.8315
Hg2 0.0991 0.0000 0.3814
Hg3 0.1304 0.3061 0.1661
Hg4 0.1564 0.1853 0.7530
```


No. 10
Compound: Na8In2Hg3
Source: the Alexandria database
Functional: PBE
Structure: relaxed

Computed properties:
DOS(E_F) ... 10.70 states/eV/cell
DFT formation energy ... -1.42 eV per formula unit

CIF file:
```
data_Na8In2Hg3
_chemical_formula_sum 'Na16 In4 Hg6'
_cell_length_a 11.8318
_cell_length_b 11.5725
_cell_length_c 5.9185
_cell_angle_alpha 90.00
_cell_angle_beta 112.23
_cell_angle_gamma 90.00
_space_group_name_H-M_alt 'C 1 2/m 1'
_space_group_IT_number 12
loop_
_space_group_symop_operation_xyz
'x,y,z'
'-x,-y,-z'
'-x,y,-z'
'x,-y,z'
'x+1/2,y+1/2,z'
'-x+1/2,-y+1/2,-z'
'-x+1/2,y+1/2,-z'
'x+1/2,-y+1/2,z'
loop_
_atom_site_label
_atom_site_fract_x
_atom_site_fract_y
_atom_site_fract_z
Na1 0.0622 0.0000 0.2968
Na2 0.1407 0.5000 0.5568
Na3 0.1606 0.2526 0.1528
In1 0.2272 0.0000 0.8734
Hg1 0.0000 0.2472 0.5000
Hg2 0.0000 0.5000 0.0000
```